Record 1
The following is a DFT calculation (GGA-PBE) of a geometry-optimized Dy3Y2Lu2Ni2Te2 structure.

abc: 9.2562 9.2562 9.2562
angles: 156.24 67.05 118.34
Last column: nearest neighbours and their distance in Å.
Atoms (fractional coordinates):
1 Dy 0.4769 0.4769 0.0000  3 Te 3.15-3.18
2 Dy 0.0274 0.8955 0.1318  2 Ni 2.77, 1 Te 3.10
3 Dy 0.7637 0.8955 0.8682  2 Ni 2.77, 1 Te 3.10
4 Lu 0.0995 0.7463 0.3532  2 Ni 2.81, 2 Te 3.12
5 Lu 0.3930 0.7463 0.6468  2 Ni 2.81, 2 Te 3.12
6 Ni 0.6425 0.4043 0.2382  2 Y 2.77, 2 Dy 2.77, 2 Lu 2.81
7 Ni 0.1661 0.4043 0.7618  2 Y 2.77, 2 Dy 2.77, 2 Lu 2.81
8 Te 0.1420 0.1420 0.0000  3 Dy 3.10-3.18, 4 Lu 3.12
9 Te 0.7413 0.2413 0.5000  6 Dy 3.15, 2 Y 3.16
10 Y 0.4122 0.0969 0.3153  2 Ni 2.77
11 Y 0.7816 0.0969 0.6847  2 Ni 2.77

---

Record 2
The following is a DFT calculation (GGA-PBE) of a geometry-optimized BaHfAsO structure.

abc: 4.5642 4.5642 10.2922
angles: 90.00 90.00 90.00
Last column: nearest neighbours and their distance in Å.
Atoms (fractional coordinates):
1 As 0.0000 0.5000 0.3669  4 Hf 2.66
2 As 0.5000 0.0000 0.6331  4 Hf 2.66
3 Ba 0.5000 0.0000 0.1120  4 O 2.56
4 Ba 0.0000 0.5000 0.8880  4 O 2.56
5 Hf 0.0000 0.0000 0.5000  4 As 2.66
6 Hf 0.5000 0.5000 0.5000  4 As 2.66
7 O 0.0000 0.0000 0.0000  4 Ba 2.56
8 O 0.5000 0.5000 0.0000  4 Ba 2.56

---

Record 3
The following is a DFT calculation (GGA-PBE) of a geometry-optimized Zr2AlSbPt2 structure.

abc: 6.3261 6.3261 7.7503
angles: 65.91 65.91 90.00
Last column: nearest neighbours and their distance in Å.
Atoms (fractional coordinates):
1 Al 0.0000 0.0000 0.0000  4 Pt 2.70
2 Al 0.2500 0.7500 0.5000  4 Pt 2.70
3 Pt 0.6250 0.1134 0.2500  4 Zr 2.67-2.81, 2 Al 2.70, 2 Sb 2.78
4 Pt 0.1250 0.6366 0.2500  4 Zr 2.67-2.81, 2 Al 2.70, 2 Sb 2.78
5 Pt 0.8866 0.8750 0.7500  4 Zr 2.67-2.81, 2 Al 2.70, 2 Sb 2.78
6 Pt 0.3634 0.3750 0.7500  4 Zr 2.67-2.81, 2 Al 2.70, 2 Sb 2.78
7 Sb 0.5000 0.5000 0.0000  4 Pt 2.78
8 Sb 0.7500 0.2500 0.5000  4 Pt 2.78
9 Zr 0.4965 0.9965 0.0069  4 Pt 2.67-2.81
10 Zr 0.7535 0.7535 0.4931  4 Pt 2.67-2.81
11 Zr 0.2465 0.2465 0.5069  4 Pt 2.67-2.81
12 Zr 0.0035 0.5035 0.9931  4 Pt 2.67-2.81

---

Record 4
The following is a DFT calculation (GGA-PBE) of a geometry-optimized B2Mo3Au structure.

abc: 3.0990 3.0990 19.2820
angles: 90.00 90.00 120.00
Last column: nearest neighbours and their distance in Å.
Atoms (fractional coordinates):
1 Au 0.0000 0.0000 0.2500  6 Mo 2.93, 6 Au 3.10
2 Au 0.0000 0.0000 0.7500  6 Mo 2.93, 6 Au 3.10
3 B 0.3333 0.6667 0.0691  6 Mo 2.14-2.23
4 B 0.3333 0.6667 0.4309  6 Mo 2.14-2.23
5 B 0.6667 0.3333 0.5691  6 Mo 2.14-2.23
6 B 0.6667 0.3333 0.9309  6 Mo 2.14-2.23
7 Mo 0.0000 0.0000 0.0000  6 B 2.23
8 Mo 0.6667 0.3333 0.1297  3 B 2.14
9 Mo 0.6667 0.3333 0.3703  3 B 2.14
10 Mo 0.0000 0.0000 0.5000  6 B 2.23
11 Mo 0.3333 0.6667 0.6297  3 B 2.14
12 Mo 0.3333 0.6667 0.8703  3 B 2.14

---

So what do the calculations give for volume? Going down the list: 25.4; 26.8; 21.1; 13.4 Å³/atom.
So what do the calculations give for DFT total energy? Going down the list: -5.501; -6.742; -7.210; -8.291 eV per atom.